*P*
Here is a relaxed structure of La2CuMo from Alexandria. Energies are from PBE.

Structure (POSCAR):
```
La2CuMo
1.0
-2.3908 7.2412 -1.5345
-0.8308 -2.8474 4.1966
1.4977 2.4023 2.2495
Cu La Mo
1 2 1
direct
0.5000 0.5000 0.0000
0.0000 0.0000 0.0000
0.5000 0.0000 0.5000
0.0000 0.5000 0.5000
```

Its crystal system is monoclinic.

---

*Q*
Here is a relaxed structure of La2CuMo from Alexandria. Energies are from PBE.

Structure (POSCAR):
```
La2CuMo
1.0
-3.1991 -0.2531 -1.5444
-0.5781 -3.0744 1.7021
-3.2653 3.9962 6.1089
Cu La Mo
1 2 1
direct
0.5000 0.5000 0.6897
0.0000 0.0000 0.9087
0.5000 0.5000 0.3227
0.0000 0.0000 0.5789
```

Its crystal system is tetragonal.

---

Which one sits at the bottom of the stability order? *P* does.

---

*P*
Here is a relaxed structure of La2CuMo from Alexandria. Energies are from PBE.

Structure (POSCAR):
```
La2CuMo
1.0
-7.9852 2.6087 -3.1267
-6.6335 0.7431 -5.9824
-8.2913 -1.0459 -3.2412
Cu La Mo
1 2 1
direct
0.7500 0.7500 0.7500
0.9978 0.9978 0.9978
0.5022 0.5022 0.5022
0.2500 0.2500 0.2500
```

Its crystal system is trigonal.

---

*Q*
Here is a relaxed structure of La2CuMo from Alexandria. Energies are from PBE.

Structure (POSCAR):
```
La2CuMo
1.0
5.6398 -0.0095 0.0000
2.2388 5.1764 0.0000
-3.9393 -2.5835 3.1008
Cu La Mo
1 2 1
direct
0.7500 0.2500 0.5000
0.0000 0.0000 0.0000
0.2500 0.7500 0.5000
0.5000 0.5000 0.0000
```

Its crystal system is tetragonal.

---

Which one sits at the bottom of the stability order? *P* does.